ScMnTcW, optimized geometry, DFT PBE-GGA; formation energy from the elements = -98 meV/atom; energy = -9.8028 eV/atom
1.0
0.000 3.114 3.114
3.114 0.000 3.114
3.114 3.114 0.000
Sc Mn Tc W
1 1 1 1
Direct
0.000 0.000 0.000
0.250 0.250 0.250
0.750 0.750 0.750
0.500 0.500 0.500


BaCaTl2, optimized geometry, DFT PBE-GGA; formation energy from the elements = -48 meV/atom; energy = -2.2122 eV/atom
1.0
-2.807 2.807 10.893
2.807 -2.807 10.893
2.807 2.807 -10.893
Ba Ca Tl
2 2 4
Direct
0.000 0.000 0.000
0.750 0.250 0.500
0.250 0.750 0.500
0.500 0.500 0.000
0.227 0.625 0.102
0.375 0.477 0.602
0.523 0.125 0.898
0.875 0.773 0.398


> Which of these has the highest energy?

BaCaTl2